This record from the Alexandria database describes a relaxed structure of NiAg2As. The functional is PBE-GGA.

Geometry as extended XYZ:
```
4
Lattice="3.0252 0.0000 0.0000 0.0000 3.0240 0.0000 0.0000 0.0000 7.1903" Properties=species:S:1:pos:R:3 pbc="T T T"
Ni 1.5126 1.5120 5.1614
As 0.0000 0.0000 4.0175
Ag 1.5126 1.5120 1.7931
Ag 0.0000 0.0000 7.0037
```

Computed properties:
- ΔH_f (0 K): 0.01 eV per atom
- Total magnetization: 0.00 μB/atom
- DOS(E_F): 1.11 states/eV per cell